Computed, not measured: an optimized crystal structure of PuCoSnO6 at the PBE with a Hubbard U level of DFT.

a b c (Å): 5.160 5.160 9.236
angles (deg): 90.00 90.00 120.00
Positions (direct):
Pu 0.333 0.667 0.250
Pu 0.667 0.333 0.750
Co 0.667 0.333 0.250
Co 0.333 0.667 0.750
Sn 0.000 0.000 0.000
Sn 0.000 0.000 0.500
O 0.673 0.649 0.129
O 0.976 0.327 0.129
O 0.327 0.976 0.629
O 0.024 0.673 0.871
O 0.351 0.327 0.371
O 0.976 0.649 0.371
O 0.649 0.976 0.871
O 0.673 0.024 0.371
O 0.024 0.351 0.629
O 0.351 0.024 0.129
O 0.649 0.673 0.629
O 0.327 0.351 0.871

Calculated values
For the calculated total energy, the calculation gives -0.56300 Ry/atom.